This record from Alexandria describes Rb2MnPdI6 after structural relaxation. The functional is GGA-PBE.

a = 8.0738 Å, b = 8.0738 Å, c = 8.0738 Å
α = 120.02°, β = 120.02°, γ = 89.97°
Atoms (fractional coordinates):
Rb  0.2500  0.7500  0.5000
Rb  0.7500  0.2500  0.5000
Mn  0.0000  0.0000  0.0000
Pd  0.5000  0.5000  0.0000
I  0.2477  0.2477  0.0000
I  0.2502  0.2502  0.5004
I  0.2502  0.7498  0.0000
I  0.7498  0.2502  0.0000
I  0.7498  0.7498  0.4996
I  0.7523  0.7523  0.0000

## Properties
ΔE_f (raw)   -0.72 eV per atom
Size of the total moment   3.3 μB per formula unit
Symmetry   I4/mmm (139)

This record from Alexandria describes MnRePd2I after structural relaxation. The functional is GGA-PBE.

a = 4.9624 Å, b = 4.9624 Å, c = 4.6033 Å
α = 90.00°, β = 90.00°, γ = 90.00°
Atoms (fractional coordinates):
Mn  0.0000  0.0000  0.0000
Re  0.0000  0.0000  0.5000
Pd  0.0000  0.5000  0.5000
Pd  0.5000  0.0000  0.5000
I  0.5000  0.5000  0.0000

## Properties
ΔE_f (raw)   1.14 eV per atom
Size of the total moment   2.3 μB per formula unit
Symmetry   P4/mmm (123)

This record from Alexandria describes MnPdSI2 after structural relaxation. The functional is GGA-PBE.

a = 5.8254 Å, b = 5.8254 Å, c = 4.4310 Å
α = 90.00°, β = 90.00°, γ = 90.00°
Atoms (fractional coordinates):
Mn  0.0000  0.0000  0.0000
Pd  0.5000  0.5000  0.0000
S  0.5000  0.5000  0.5000
I  0.0000  0.5000  0.5000
I  0.5000  0.0000  0.5000

## Properties
ΔE_f (raw)   0.61 eV per atom
Size of the total moment   5.3 μB per formula unit
Symmetry   P4/mmm (123)

This record from Alexandria describes MnSbPdI2 after structural relaxation. The functional is GGA-PBE.

a = 5.4643 Å, b = 5.4643 Å, c = 5.1446 Å
α = 90.00°, β = 90.00°, γ = 90.00°
Atoms (fractional coordinates):
Mn  0.0000  0.0000  0.0000
Sb  0.0000  0.0000  0.5000
Pd  0.5000  0.5000  0.5000
I  0.0000  0.5000  0.0000
I  0.5000  0.0000  0.0000

## Properties
ΔE_f (raw)   0.57 eV per atom
Energy above the lowest structure with this stoichiometry   0.28 eV/f.u.
Size of the total moment   3.1 μB per formula unit
Symmetry   P4/mmm (123)